Here is an optimized crystal structure of MgH6C2O6 from Alexandria via LeMat-Bulk. Energies are from GGA-PBEsol.

Output
Its calculated total energy is -6.0592 eV/atom. The calculation puts the magnetic moment at 0.00 μB/f.u. The value obtained for the energy above the lowest structure with this stoichiometry is 0 meV per atom.

Lattice parameters (Å, degrees): 7.016 8.569 9.374 98.15 90.00 90.00
Element x y z (fractional)
O1 0.761 0.917 0.093
O2 0.400 0.096 0.703
O3 0.118 0.409 0.305
O4 0.900 0.904 0.797
O5 0.218 0.558 0.085
O6 0.282 0.558 0.585
O7 0.145 0.788 0.009
O8 0.382 0.409 0.805
O9 0.355 0.788 0.509
O10 0.855 0.212 0.991
O11 0.010 0.277 0.562
O12 0.600 0.904 0.297
O13 0.739 0.917 0.593
O14 0.490 0.277 0.062
O15 0.882 0.591 0.695
O16 0.261 0.083 0.407
O17 0.239 0.083 0.907
O18 0.718 0.442 0.415
O19 0.618 0.591 0.195
O20 0.990 0.723 0.438
O21 0.510 0.723 0.938
O22 0.782 0.442 0.915
O23 0.645 0.212 0.491
O24 0.100 0.096 0.203
C1 0.395 0.670 0.573
C2 0.215 0.029 0.279
C3 0.105 0.670 0.073
C4 0.285 0.029 0.779
C5 0.715 0.971 0.221
C6 0.785 0.971 0.721
C7 0.895 0.330 0.927
C8 0.605 0.330 0.427
H1 0.398 0.296 0.766
H2 0.103 0.205 0.506
H3 0.102 0.296 0.266
H4 0.220 0.916 0.730
H5 0.898 0.704 0.734
H6 0.039 0.334 0.878
H7 0.845 0.535 0.777
H8 0.280 0.916 0.230
H9 0.879 0.234 0.540
H10 0.621 0.234 0.040
H11 0.897 0.795 0.494
H12 0.780 0.084 0.270
H13 0.961 0.666 0.122
H14 0.121 0.766 0.460
H15 0.155 0.465 0.223
H16 0.397 0.205 0.006
H17 0.461 0.334 0.378
H18 0.602 0.704 0.234
H19 0.655 0.535 0.277
H20 0.539 0.666 0.622
H21 0.720 0.084 0.770
H22 0.603 0.795 0.994
H23 0.379 0.766 0.960
H24 0.345 0.465 0.723
Mg1 0.000 0.500 0.500
Mg2 0.500 0.000 0.500
Mg3 0.500 0.500 0.000
Mg4 0.000 0.000 0.000